No. 1
The following is a GGA-PBE calculation of a relaxed structure of CaTaZn2, from the Alexandria database.

For the volume, the calculation gives 24.49 A^3/atom. As for the energy of formation from the pure elements: 0.769 eV/atom.

It has space group I-42d (No. 122), with a = 4.594 Å, b = 4.594 Å, c = 18.560 Å, α = 90.00°, β = 90.00° and γ = 90.00°. The inequivalent atoms are Ca at (0.000, 0.000, 0.000), Ta at (0.000, 0.000, 0.500) and Zn at (0.142, 0.250, 0.625).

No. 2
The following is a GGA-PBE calculation of a relaxed structure of CaTaZn2, from the Alexandria database.

For the volume, the calculation gives 18.96 A^3/atom. As for the energy of formation from the pure elements: 0.076 eV/atom.

It has space group P4/mmm (No. 123), with a = 3.022 Å, b = 3.022 Å, c = 8.304 Å, α = 90.00°, β = 90.00° and γ = 90.00°. The inequivalent atoms are Ca at (0.000, 0.000, 0.000), Ta at (0.000, 0.000, 0.500) and Zn at (0.500, 0.500, 0.275).

No. 3
The following is a GGA-PBE calculation of a relaxed structure of CaTaZn4, from the Alexandria database.

For the volume, the calculation gives 17.23 A^3/atom. As for the energy of formation from the pure elements: 0.096 eV/atom.

It has space group F-43m (No. 216), with a = 7.451 Å, b = 7.451 Å, c = 7.451 Å, α = 90.00°, β = 90.00° and γ = 90.00°. The inequivalent atoms are Ca at (0.000, 0.000, 0.000), Ta at (0.250, 0.250, 0.750) and Zn at (0.124, 0.124, 0.376).

No. 4
The following is a GGA-PBE calculation of a relaxed structure of CaTa2Zn, from the Alexandria database.

For the volume, the calculation gives 19.89 A^3/atom. As for the energy of formation from the pure elements: 0.649 eV/atom.

It has space group Pmmm (No. 47), with a = 2.761 Å, b = 4.978 Å, c = 5.790 Å, α = 90.00°, β = 90.00° and γ = 90.00°. The inequivalent atoms are Ca at (0.000, 0.000, 0.000), Ta at (0.500, 0.500, 0.254) and Zn at (0.000, 0.000, 0.500).

Repeat the first record exactly.
The following is a GGA-PBE calculation of a relaxed structure of CaTaZn2, from the Alexandria database.

For the volume, the calculation gives 24.49 A^3/atom. As for the energy of formation from the pure elements: 0.769 eV/atom.

It has space group I-42d (No. 122), with a = 4.594 Å, b = 4.594 Å, c = 18.560 Å, α = 90.00°, β = 90.00° and γ = 90.00°. The inequivalent atoms are Ca at (0.000, 0.000, 0.000), Ta at (0.000, 0.000, 0.500) and Zn at (0.142, 0.250, 0.625).

> What is the energy of formation from the pure elements in the second record?

0.076 eV/atom

> The highest energy of formation from the pure elements belongs to which entry?

number 1

> Which formula does entry 3 have?

CaTaZn4